# 1
First-principles (PBEsol) data for an optimized crystal structure of Ba2N, as listed in Alexandria.

a b c (Å): 3.971 3.971 7.852
angles (deg): 75.35 75.35 60.00
Sites, in units of the cell vectors:
Ba  0.267  0.267  0.199
Ba  0.733  0.733  0.801
N  0.000  0.000  0.000

raw formation energy = -0.49 eV per atom

***

# 2
First-principles (PBEsol) data for an optimized crystal structure of BaNaN3, as listed in Alexandria.

a b c (Å): 4.756 4.756 4.756
angles (deg): 90.00 90.00 90.00
Site moments in Bohr magnetons follow the coordinates.
Sites, in units of the cell vectors:
N  0.000  0.000  0.500  0.92
N  0.500  0.000  0.000  0.92
N  0.000  0.500  0.000  0.92
Ba  0.000  0.000  0.000  0.06
Na  0.500  0.500  0.500  -0.01

raw formation energy = 1.82 eV per atom

***

# 3
First-principles (PBEsol) data for an optimized crystal structure of BaNaSN2, as listed in Alexandria.

a b c (Å): 5.150 5.150 5.899
angles (deg): 90.00 90.00 90.00
Site moments in Bohr magnetons follow the coordinates.
Sites, in units of the cell vectors:
N  0.000  0.500  0.000  1.42
N  0.500  0.000  0.000  1.42
Ba  0.000  0.000  0.000  0.10
Na  0.500  0.500  0.500  0.00
S  0.000  0.000  0.500  0.27

offset from the most stable computed form = 1.49 eV/f.u.
raw formation energy = 1.06 eV per atom

***

# 4
First-principles (PBEsol) data for an optimized crystal structure of BaNaSN2, as listed in Alexandria.

a b c (Å): 4.570 4.570 5.071
angles (deg): 90.00 90.00 90.00
Site moments in Bohr magnetons follow the coordinates.
Sites, in units of the cell vectors:
Ba  0.500  0.500  0.500  0.00
Na  0.000  0.000  0.000  0.02
N  0.000  0.500  0.000  1.48
N  0.500  0.000  0.000  1.48
S  0.000  0.000  0.500  0.35

offset from the most stable computed form = 0.00 eV/f.u.
raw formation energy = 0.76 eV per atom

***

# 5
First-principles (PBEsol) data for an optimized crystal structure of Ba3NbN, as listed in Alexandria.

a b c (Å): 5.724 5.724 5.724
angles (deg): 90.00 90.00 90.00
Site moments in Bohr magnetons follow the coordinates.
Sites, in units of the cell vectors:
Ba  0.000  0.000  0.500  -0.02
Ba  0.500  0.000  0.000  -0.02
Ba  0.000  0.500  0.000  -0.02
N  0.500  0.500  0.500  0.85
Nb  0.000  0.000  0.000  0.24

raw formation energy = 1.51 eV per atom

***

# 6
First-principles (PBEsol) data for an optimized crystal structure of BaNbSeN2, as listed in Alexandria.

a b c (Å): 4.228 4.228 5.185
angles (deg): 90.00 90.00 90.00
Sites, in units of the cell vectors:
Nb  0.000  0.000  0.000
N  0.500  0.000  0.000
N  0.000  0.500  0.000
Ba  0.500  0.500  0.500
Se  0.000  0.000  0.500

raw formation energy = -0.61 eV per atom

***

- Among the records above, which one has the lowest raw formation energy?
  BaNbSeN2

***

- The lowest raw formation energy belongs to which entry?
  BaNbSeN2

***

- The lowest raw formation energy belongs to which entry?
  BaNbSeN2

***

- Look up the raw formation energy of the first one.
  -0.49 eV per atom